## i
DFT (PBE-GGA) results for crystalline TiMn2Re2 at its relaxed geometry.

It has space group I4/mmm (No. 139), with a = 3.9280 Å, b = 3.9280 Å, c = 9.7736 Å, α = 90.00°, β = 90.00° and γ = 90.00°. Symmetry generates all atoms from Ti at (0.0000, 0.0000, 0.0000), Mn at (0.0000, 0.0000, 0.3948) and Re at (0.0000, 0.5000, 0.2500).

Its total moment is 0.00 μB per cell.



## ii
DFT (PBE-GGA) results for crystalline TiMn2Re2 at its relaxed geometry.

It has space group P4/mbm (No. 127), with a = 7.0884 Å, b = 7.0884 Å, c = 2.7697 Å, α = 90.00°, β = 90.00° and γ = 90.00°. Symmetry generates all atoms from Ti at (0.0000, 0.0000, 0.0000), Mn at (0.1329, 0.3671, 0.0000) and Re at (0.1643, 0.6643, 0.5000).

Its total moment is 0.00 μB per cell.



Most stable structure: ii



## i
DFT (PBE-GGA) results for crystalline TiMnRe3 at its relaxed geometry.

It has space group Pm-3m (No. 221), with a = 4.4649 Å, b = 4.4649 Å, c = 4.4649 Å, α = 90.00°, β = 90.00° and γ = 90.00°. Symmetry generates all atoms from Ti at (0.0000, 0.0000, 0.0000), Mn at (0.5000, 0.5000, 0.5000) and Re at (0.0000, 0.0000, 0.5000).

Its total moment is 0.09 μB per cell.



## ii
DFT (PBE-GGA) results for crystalline TiMnRe3 at its relaxed geometry.

It has space group Pm-3m (No. 221), with a = 4.4116 Å, b = 4.4116 Å, c = 4.4116 Å, α = 90.00°, β = 90.00° and γ = 90.00°. Symmetry generates all atoms from Ti at (0.0000, 0.0000, 0.0000), Mn at (0.5000, 0.5000, 0.5000) and Re at (0.0000, 0.5000, 0.5000).

Its total moment is 0.00 μB per cell.



Most stable structure: ii



## i
DFT (PBE-GGA) results for crystalline Ti4MnRe at its relaxed geometry.

It has space group R-3m (No. 166, hexagonal axes), with a = 4.3502 Å, b = 4.3502 Å, c = 19.1617 Å, α = 90.00°, β = 90.00° and γ = 120.00°. Symmetry generates all atoms from Ti at (0.0000, 0.0000, 0.1202), Ti at (0.0000, 0.0000, 0.3699), Mn at (0.0000, 0.0000, 0.0000) and Re at (0.0000, 0.0000, 0.5000).

Its total moment is 0.01 μB per cell.



## ii
DFT (PBE-GGA) results for crystalline Ti4MnRe at its relaxed geometry.

It has space group P4/mmm (No. 123), with a = 3.1014 Å, b = 3.1014 Å, c = 9.5639 Å, α = 90.00°, β = 90.00° and γ = 90.00°. Symmetry generates all atoms from Ti at (0.0000, 0.0000, 0.1451), Ti at (0.5000, 0.5000, 0.3435), Mn at (0.5000, 0.5000, 0.0000) and Re at (0.0000, 0.0000, 0.5000).

Its total moment is 0.01 μB per cell.



Most stable structure: ii